Record 1
A relaxed structure of Fe2SiRh, computed with GGA-PBEsol.

Computed properties:
ΔE_f (raw)	-369.0	meV per atom
magnetization	4.4	μB/f.u.
density of states at the Fermi level	2.7	states/eV/f.u.

Unit cell a=4.8292 b=4.8292 c=4.8292 alpha=146.66 beta=130.69 gamma=60.83
With the nearest neighbours (Å) after each atom.
Fractional positions:
Fe 0.2356 0.2356 0.0000  2 Si 2.40, 4 Fe 2.46, 2 Rh 2.60
Fe 0.7644 0.7644 0.0000  2 Si 2.40, 4 Fe 2.46, 2 Rh 2.60
Si 0.0000 0.5000 0.5000  4 Fe 2.40, 4 Rh 2.44
Rh 0.5000 0.0000 0.5000  4 Si 2.44, 4 Fe 2.60

***

Record 2
A relaxed structure of Fe2SiRh, computed with GGA-PBEsol.

Computed properties:
ΔE_f (raw)	-146.0	meV per atom
magnetization	3.6	μB/f.u.
density of states at the Fermi level	3.6	states/eV/f.u.

Unit cell a=7.8771 b=7.8771 c=7.8771 alpha=19.43 beta=19.43 gamma=19.43
With the nearest neighbours (Å) after each atom.
Fractional positions:
Fe 0.0000 0.0000 0.0000  9 Fe 2.44-2.66, 3 Rh 2.63
Fe 0.2515 0.2515 0.2515  3 Si 2.34, 3 Fe 2.44
Si 0.5086 0.5086 0.5086  3 Fe 2.34, 3 Rh 2.46
Rh 0.7587 0.7587 0.7587  3 Si 2.46, 3 Fe 2.63, 6 Rh 2.66

***

Record 3
A relaxed structure of Fe2SiRh, computed with GGA-PBEsol.

Computed properties:
ΔE_f (raw)	-335.3	meV per atom
magnetization	4.9	μB/f.u.
density of states at the Fermi level	3.4	states/eV/f.u.

Unit cell a=3.4992 b=3.4992 c=3.8769 alpha=90.00 beta=90.00 gamma=90.00
With the nearest neighbours (Å) after each atom.
Fractional positions:
Fe 0.0000 0.5000 0.0000  4 Fe 2.47, 4 Rh 2.61, 4 Si 2.61
Fe 0.5000 0.0000 0.0000  4 Fe 2.47, 4 Rh 2.61, 4 Si 2.61
Si 0.0000 0.0000 0.5000  4 Rh 2.47, 8 Fe 2.61
Rh 0.5000 0.5000 0.5000  4 Si 2.47, 8 Fe 2.61

***

Record 4
A relaxed structure of Fe2SiRh, computed with GGA-PBEsol.

Computed properties:
ΔE_f (raw)	-398.8	meV per atom
magnetization	4.6	μB/f.u.
density of states at the Fermi level	1.7	states/eV/f.u.

Unit cell a=2.8558 b=2.8558 c=5.6941 alpha=90.00 beta=90.00 gamma=90.00
With the nearest neighbours (Å) after each atom.
Fractional positions:
Fe 0.0000 0.0000 0.0000  4 Si 2.39, 4 Fe 2.41
Fe 0.5000 0.5000 0.2308  4 Fe 2.41, 1 Si 2.59, 4 Rh 2.62
Si 0.5000 0.5000 0.7756  5 Fe 2.39-2.59, 4 Rh 2.48
Rh 0.0000 0.0000 0.5230  4 Si 2.48, 5 Fe 2.62-2.72